1.
# ScIr2W, optimized geometry, DFT PBE
data_ScIr2W
_space_group_name_H-M_alt 'C m m m'
_space_group_IT_number 65
_space_group_name_Hall '-C 2 2'
_cell_length_a 5.9025
_cell_length_b 7.4573
_cell_length_c 2.8928
_cell_angle_alpha 90.00
_cell_angle_beta 90.00
_cell_angle_gamma 90.00
loop_
_atom_site_label
_atom_site_type_symbol
_atom_site_fract_x
_atom_site_fract_y
_atom_site_fract_z
Sc1 Sc 0.0000 0.0000 0.0000
Ir1 Ir 0.2500 0.2500 0.5000
W1 W 0.0000 0.5000 0.0000
# DFT formation energy = -1.87 eV/f.u.

---

2.
# Sc2IrW, optimized geometry, DFT PBE
data_Sc2IrW
_space_group_name_H-M_alt 'I m m m'
_space_group_IT_number 71
_space_group_name_Hall '-I 2 2'
_cell_length_a 3.1204
_cell_length_b 4.8529
_cell_length_c 9.2235
_cell_angle_alpha 90.00
_cell_angle_beta 90.00
_cell_angle_gamma 90.00
loop_
_atom_site_label
_atom_site_type_symbol
_atom_site_fract_x
_atom_site_fract_y
_atom_site_fract_z
Sc1 Sc 0.0000 0.0000 0.2357
Ir1 Ir 0.0000 0.5000 0.5000
W1 W 0.0000 0.5000 0.0000
# DFT formation energy = -0.44 eV/f.u.

---

3.
# ScIr3W, optimized geometry, DFT PBE
data_ScIr3W
_space_group_name_H-M_alt 'P m -3 m'
_space_group_IT_number 221
_space_group_name_Hall '-P 4 2 3'
_cell_length_a 4.7475
_cell_length_b 4.7475
_cell_length_c 4.7475
_cell_angle_alpha 90.00
_cell_angle_beta 90.00
_cell_angle_gamma 90.00
loop_
_atom_site_label
_atom_site_type_symbol
_atom_site_fract_x
_atom_site_fract_y
_atom_site_fract_z
Sc1 Sc 0.0000 0.0000 0.0000
Ir1 Ir 0.0000 0.5000 0.5000
W1 W 0.5000 0.5000 0.5000
# DFT formation energy = 4.49 eV/f.u.

---

4.
# ScIrW2, optimized geometry, DFT PBE
data_ScIrW2
_space_group_name_H-M_alt 'P m m m'
_space_group_IT_number 47
_space_group_name_Hall '-P 2 2'
_cell_length_a 3.1999
_cell_length_b 4.3745
_cell_length_c 4.6925
_cell_angle_alpha 90.00
_cell_angle_beta 90.00
_cell_angle_gamma 90.00
loop_
_atom_site_label
_atom_site_type_symbol
_atom_site_fract_x
_atom_site_fract_y
_atom_site_fract_z
Sc1 Sc 0.0000 0.0000 0.0000
Ir1 Ir 0.5000 0.5000 0.0000
W1 W 0.0000 0.5000 0.5000
W2 W 0.5000 0.0000 0.5000
# DFT formation energy = -0.61 eV/f.u.

---

> DFT formation energy of number 2 (Sc2IrW)?

-0.44 eV/f.u.